# Ba3NiPt2O6 GGA+U optimized geometry
# Symmetry = P-3m1, No. 164
# Uncorrected energy = -5.411 eV/atom
data_Ba3NiPt2O6
_chemical_formula_sum 'Ba3 Ni1 Pt2 O6'
_cell_length_a 5.9037
_cell_length_b 5.9037
_cell_length_c 6.8207
_cell_angle_alpha 90.00
_cell_angle_beta 90.00
_cell_angle_gamma 120.00
_space_group_name_H-M_alt 'P 1'
_space_group_IT_number 1
loop_
_space_group_symop_operation_xyz
'x,y,z'
loop_
_atom_site_label
_atom_site_type_symbol
_atom_site_fract_x
_atom_site_fract_y
_atom_site_fract_z
Ba1 Ba 0.0000 0.0000 0.0000
Ba2 Ba 0.3333 0.6667 0.6471
Ba3 Ba 0.6667 0.3333 0.3529
Ni1 Ni 0.0000 0.0000 0.5000
Pt1 Pt 0.3333 0.6667 0.1594
Pt2 Pt 0.6667 0.3333 0.8406
O1 O 0.1628 0.3256 0.3155
O2 O 0.1628 0.8372 0.3155
O3 O 0.3256 0.1628 0.6845
O4 O 0.6744 0.8372 0.3155
O5 O 0.8372 0.1628 0.6845
O6 O 0.8372 0.6744 0.6845